Compound: AlSbTe2
Source: the Alexandria database
Functional: PBE-GGA
Structure: optimized geometry

Structure (POSCAR):
```
AlSbTe2
1.0
0.0000 3.7482 3.7482
3.7482 0.0000 3.7482
3.7482 3.7482 0.0000
Al Sb Te
1 1 2
Direct
0.0000 0.0000 0.0000
0.5000 0.5000 0.5000
0.2500 0.2500 0.2500
0.7500 0.7500 0.7500
```

Properties
uncorrected formation energy = 0.206 eV/atom
magnetic moment = 0.00 μB/atom
D(E_F) = 3.38 states/eV/cell